Model one:
A relaxed structure of Be2CoOs, computed with GGA-PBE.

Cell: 2.7121 2.7121 5.5000 Å, 90.00 90.00 90.00°
Closest atoms and distances in Å follow each position.
Element x y z (fractional)
Be: 0.0000 0.0000 0.0000  4 Be 2.21, 1 Co 2.36, 4 Os 2.42
Be: 0.5000 0.5000 0.2012  4 Be 2.21, 4 Co 2.29
Co: 0.0000 0.0000 0.4283  5 Be 2.29-2.36, 4 Os 2.54
Os: 0.5000 0.5000 0.7310  5 Be 2.42-2.59, 4 Co 2.54, 4 Os 2.71

Properties
V in Å³ per cell: 40.5
SG: P4mm
N(E_F) in states/eV/f.u.: 2.24

=====

Model two:
A relaxed structure of Be2CoOs, computed with GGA-PBE.

Cell: 4.8501 4.8501 4.8501 Å, 105.19 105.19 118.41°
Closest atoms and distances in Å follow each position.
Element x y z (fractional)
Be: 0.1057 0.6250 0.9807  2 Co 2.10, 2 Os 2.25
Be: 0.3750 0.3557 0.4807  2 Co 2.10, 2 Os 2.25
Be: 0.6443 0.1250 0.0193  2 Co 2.10, 2 Os 2.25
Be: 0.8750 0.8943 0.5193  2 Co 2.10, 2 Os 2.25
Co: 0.0000 0.0000 0.0000  4 Be 2.10
Co: 0.7500 0.2500 0.5000  4 Be 2.10
Os: 0.2500 0.7500 0.5000  4 Be 2.25, 2 Co 2.48
Os: 0.5000 0.5000 0.0000  4 Be 2.25, 2 Co 2.48

Properties
V in Å³ per cell: 86.2
SG: I-42d
N(E_F) in states/eV/f.u.: 3.09

=====

The structure with the least stability is model two.